Entry 1:
DFT (PBE) results for a relaxed HfNb3Rh crystal.

Output
raw total energy: -7.71 eV/atom
DFT formation energy: 173.3 kJ per mole of atoms
energy above the most stable polymorph in this dataset: 89.4 kJ per mole of atoms
space-group type: No. 221

Cell lengths 4.8340, 4.8340, 4.8340 Å; angles 90.00, 90.00, 90.00 degrees
With the nearest neighbours (Å) after each atom.
Atoms (fractional coordinates):
Rh: 0.5000 0.5000 0.5000  12 Nb 3.42
Nb: 0.0000 0.5000 0.0000  2 Hf 2.42
Nb: 0.0000 0.0000 0.5000  2 Hf 2.42
Nb: 0.5000 0.0000 0.0000  2 Hf 2.42
Hf: 0.0000 0.0000 0.0000  6 Nb 2.42



Entry 2:
DFT (PBE) results for a relaxed Tl12Au3Se5 crystal.

Output
formation energy (no corrections): -15.00 kJ per mole of atoms
raw total energy: -2.94 eV/atom
space-group type: No. 230

Cell lengths 15.4741, 15.4741, 15.4741 Å; angles 109.47, 109.47, 109.47 degrees
With the nearest neighbours (Å) after each atom.
Atoms (fractional coordinates):
Au: 0.7500 0.3750 0.1250  8 Tl 3.21-3.29
Au: 0.8750 0.7500 0.1250  8 Tl 3.21-3.29
Au: 0.3750 0.7500 0.6250  8 Tl 3.21-3.29
Au: 0.2500 0.1250 0.3750  8 Tl 3.21-3.29
Au: 0.8750 0.1250 0.2500  8 Tl 3.21-3.29
Au: 0.3750 0.6250 0.2500  8 Tl 3.21-3.29
Au: 0.6250 0.3750 0.7500  8 Tl 3.21-3.29
Au: 0.1250 0.8750 0.7500  8 Tl 3.21-3.29
Au: 0.7500 0.8750 0.6250  8 Tl 3.21-3.29
Au: 0.6250 0.2500 0.3750  8 Tl 3.21-3.29
Au: 0.1250 0.2500 0.8750  8 Tl 3.21-3.29
Au: 0.2500 0.6250 0.8750  8 Tl 3.21-3.29
Se: 0.1250 0.3750 0.2500  4 Tl 2.90
Se: 0.0000 0.5000 0.0000  6 Tl 3.06
Se: 0.0000 0.0000 0.0000  6 Tl 3.06
Se: 0.3750 0.2500 0.1250  4 Tl 2.90
Se: 0.5000 0.0000 0.5000  6 Tl 3.06
Se: 0.5000 0.5000 0.0000  6 Tl 3.06
Se: 0.1250 0.7500 0.3750  4 Tl 2.90
Se: 0.7500 0.1250 0.8750  4 Tl 2.90
Se: 0.7500 0.6250 0.3750  4 Tl 2.90
Se: 0.3750 0.1250 0.7500  4 Tl 2.90
Se: 0.6250 0.8750 0.2500  4 Tl 2.90
Se: 0.5000 0.5000 0.5000  6 Tl 3.06
Se: 0.5000 0.0000 0.0000  6 Tl 3.06
Se: 0.0000 0.0000 0.5000  6 Tl 3.06
Se: 0.2500 0.3750 0.6250  4 Tl 2.90
Se: 0.2500 0.8750 0.1250  4 Tl 2.90
Se: 0.0000 0.5000 0.5000  6 Tl 3.06
Se: 0.8750 0.2500 0.6250  4 Tl 2.90
Se: 0.6250 0.7500 0.8750  4 Tl 2.90
Se: 0.8750 0.6250 0.7500  4 Tl 2.90
Tl: 0.7253 0.1447 0.0573  2 Se 2.90-3.06, 1 Au 3.21
Tl: 0.3319 0.5573 0.4126  2 Se 2.90-3.06, 1 Au 3.21
Tl: 0.9427 0.3553 0.2747  2 Se 2.90-3.06, 1 Au 3.21
Tl: 0.5573 0.2253 0.1447  2 Se 2.90-3.06, 1 Au 3.21
Tl: 0.5807 0.7253 0.6681  2 Se 2.90-3.06, 1 Au 3.21
Tl: 0.9427 0.5874 0.1681  2 Se 2.90-3.06, 1 Au 3.21
Tl: 0.3319 0.7747 0.4193  2 Se 2.90-3.06, 1 Au 3.21
Tl: 0.0874 0.9193 0.1447  2 Se 2.90-3.06, 1 Au 3.21
Tl: 0.5874 0.9427 0.6681  2 Se 2.90-3.06, 1 Au 3.21
Tl: 0.7253 0.5807 0.1681  2 Se 2.90-3.06, 1 Au 3.21
Tl: 0.7747 0.4427 0.3553  2 Se 2.90-3.06, 1 Au 3.21
Tl: 0.8319 0.9126 0.0573  2 Se 2.90-3.06, 1 Au 3.21
Tl: 0.1447 0.7253 0.5573  2 Se 2.90-3.06, 1 Au 3.21
Tl: 0.3553 0.4126 0.0807  2 Se 2.90-3.06, 1 Au 3.21
Tl: 0.0807 0.9126 0.3553  2 Se 2.90-3.06, 1 Au 3.21
Tl: 0.4193 0.1447 0.5874  2 Se 2.90-3.06, 1 Au 3.21
Tl: 0.0807 0.1681 0.2253  2 Se 2.90-3.06, 1 Au 3.21
Tl: 0.4427 0.6681 0.0874  2 Se 2.90-3.06, 1 Au 3.21
Tl: 0.8319 0.9193 0.2747  2 Se 2.90-3.06, 1 Au 3.21
Tl: 0.1447 0.4193 0.0874  2 Se 2.90-3.06, 1 Au 3.21
Tl: 0.3553 0.9427 0.7747  2 Se 2.90-3.06, 1 Au 3.21
Tl: 0.5874 0.6447 0.4193  2 Se 2.90-3.06, 1 Au 3.21
Tl: 0.9126 0.8319 0.5573  2 Se 2.90-3.06, 1 Au 3.21
Tl: 0.7747 0.3319 0.9193  2 Se 2.90-3.06, 1 Au 3.21
Tl: 0.4126 0.3553 0.5807  2 Se 2.90-3.06, 1 Au 3.21
Tl: 0.0874 0.1681 0.4427  2 Se 2.90-3.06, 1 Au 3.21
Tl: 0.2253 0.6681 0.0807  2 Se 2.90-3.06, 1 Au 3.21
Tl: 0.1681 0.0807 0.7253  2 Se 2.90-3.06, 1 Au 3.21
Tl: 0.6447 0.0573 0.2253  2 Se 2.90-3.06, 1 Au 3.21
Tl: 0.8553 0.5807 0.9126  2 Se 2.90-3.06, 1 Au 3.21
Tl: 0.5573 0.3319 0.9126  2 Se 2.90-3.06, 1 Au 3.21
Tl: 0.5807 0.8553 0.4126  2 Se 2.90-3.06, 1 Au 3.21
Tl: 0.9193 0.8319 0.7747  2 Se 2.90-3.06, 1 Au 3.21
Tl: 0.9193 0.0874 0.6447  2 Se 2.90-3.06, 1 Au 3.21
Tl: 0.8553 0.2747 0.4427  2 Se 2.90-3.06, 1 Au 3.21
Tl: 0.1681 0.0874 0.9427  2 Se 2.90-3.06, 1 Au 3.21
Tl: 0.6447 0.5874 0.9193  2 Se 2.90-3.06, 1 Au 3.21
Tl: 0.4126 0.0573 0.3319  2 Se 2.90-3.06, 1 Au 3.21
Tl: 0.2747 0.4193 0.8319  2 Se 2.90-3.06, 1 Au 3.21
Tl: 0.2253 0.5573 0.6447  2 Se 2.90-3.06, 1 Au 3.21
Tl: 0.9126 0.0807 0.8553  2 Se 2.90-3.06, 1 Au 3.21
Tl: 0.6681 0.2253 0.5807  2 Se 2.90-3.06, 1 Au 3.21
Tl: 0.4427 0.7747 0.8553  2 Se 2.90-3.06, 1 Au 3.21
Tl: 0.0573 0.4126 0.8319  2 Se 2.90-3.06, 1 Au 3.21
Tl: 0.4193 0.2747 0.3319  2 Se 2.90-3.06, 1 Au 3.21
Tl: 0.0573 0.6447 0.7253  2 Se 2.90-3.06, 1 Au 3.21
Tl: 0.6681 0.4427 0.5874  2 Se 2.90-3.06, 1 Au 3.21
Tl: 0.2747 0.8553 0.9427  2 Se 2.90-3.06, 1 Au 3.21



Entry 3:
DFT (PBE) results for a relaxed ZnBSb2I crystal.

Output
formation energy (no corrections): 82.14 kJ per mole of atoms
raw total energy: -2.70 eV/atom
energy above the most stable polymorph in this dataset: 0.0 kJ per mole of atoms
space-group type: No. 123

Cell lengths 4.8257, 4.8257, 5.3510 Å; angles 90.00, 90.00, 90.00 degrees
With the nearest neighbours (Å) after each atom.
Atoms (fractional coordinates):
I: 0.0000 0.0000 0.5000  2 B 2.68
Sb: 0.0000 0.5000 0.0000  2 B 2.41
Sb: 0.5000 0.0000 0.0000  2 B 2.41
Zn: 0.5000 0.5000 0.5000  4 I 3.41, 8 Sb 3.60
B: 0.0000 0.0000 0.0000  4 Sb 2.41, 2 I 2.68



Entry 4:
DFT (PBE) results for a relaxed LiGePd14 crystal.

Output
raw total energy: -5.11 eV/atom
DFT formation energy: -15.5 kJ per mole of atoms
space-group type: No. 38

Cell lengths 5.5028, 5.5028, 9.0706 Å; angles 90.00, 90.00, 118.17 degrees
With the nearest neighbours (Å) after each atom.
Atoms (fractional coordinates):
Li: 0.0617 0.9383 0.5000  10 Pd 2.62-2.90, 2 Ge 2.83
Ge: 0.5607 0.4393 0.5000  8 Pd 2.60-2.83, 2 Li 2.83
Pd: 0.1926 0.8074 0.0000  12 Pd 2.72-2.89
Pd: 0.6947 0.3053 0.0000  12 Pd 2.74-2.88
Pd: 0.0709 0.4314 0.5000  2 Ge 2.67-2.83, 2 Li 2.69-2.81, 8 Pd 2.73-2.84
Pd: 0.1965 0.3044 0.0000  12 Pd 2.72-2.91
Pd: 0.5686 0.9291 0.5000  2 Ge 2.67-2.83, 2 Li 2.69-2.81, 8 Pd 2.73-2.84
Pd: 0.6956 0.8035 0.0000  12 Pd 2.72-2.91
Pd: 0.3723 0.1340 0.7339  1 Ge 2.60, 1 Li 2.62, 9 Pd 2.74-2.89
Pd: 0.3723 0.1340 0.2661  1 Ge 2.60, 1 Li 2.62, 9 Pd 2.74-2.89
Pd: 0.8660 0.6277 0.7339  1 Ge 2.60, 1 Li 2.62, 9 Pd 2.74-2.89
Pd: 0.8660 0.6277 0.2661  1 Ge 2.60, 1 Li 2.62, 9 Pd 2.74-2.89
Pd: 0.3687 0.6313 0.7523  11 Pd 2.73-2.83, 1 Ge 2.92
Pd: 0.3687 0.6313 0.2477  11 Pd 2.73-2.83, 1 Ge 2.92
Pd: 0.8723 0.1277 0.7514  11 Pd 2.73-2.83, 1 Li 2.90
Pd: 0.8723 0.1277 0.2486  11 Pd 2.73-2.83, 1 Li 2.90



Entry 5:
DFT (PBE) results for a relaxed Ti2ReHRh crystal.

Output
raw total energy: -8.25 eV/atom
energy above the most stable polymorph in this dataset: 0.0 kJ per mole of atoms
space-group type: No. 123

Cell lengths 4.3154, 4.3154, 3.3938 Å; angles 90.00, 90.00, 90.00 degrees
With the nearest neighbours (Å) after each atom.
Atoms (fractional coordinates):
Re: 0.5000 0.5000 0.5000  8 Ti 2.75, 4 Rh 3.05
Rh: 0.0000 0.0000 0.5000  2 H 1.70
H: 0.0000 0.0000 0.0000  2 Rh 1.70
Ti: 0.0000 0.5000 0.0000  2 H 2.16
Ti: 0.5000 0.0000 0.0000  2 H 2.16



Entry 6:
DFT (PBE) results for a relaxed La2P3Pt4Au crystal.

Output
raw total energy: -6.24 eV/atom
DFT formation energy: -85.4 kJ per mole of atoms
space-group type: No. 115

Cell lengths 4.2510, 4.2510, 10.5247 Å; angles 90.00, 90.00, 90.00 degrees
With the nearest neighbours (Å) after each atom.
Atoms (fractional coordinates):
La: 0.5000 0.0000 0.2474  8 Pt 3.16-3.36, 6 P 3.28-3.40, 2 Au 3.40
La: 0.0000 0.5000 0.7526  8 Pt 3.16-3.36, 6 P 3.28-3.40, 2 Au 3.40
P: 0.0000 0.0000 0.5000  4 Pt 2.72, 4 Au 3.01
P: 0.5000 0.0000 0.8782  5 Pt 2.29-2.48
P: 0.0000 0.5000 0.1218  5 Pt 2.29-2.48
Pt: 0.5000 0.5000 0.0000  4 P 2.48
Pt: 0.0000 0.0000 0.0000  4 P 2.48
Pt: 0.5000 0.0000 0.6606  1 P 2.29
Pt: 0.0000 0.5000 0.3394  1 P 2.29
Au: 0.5000 0.5000 0.5000  4 Pt 2.72, 4 P 3.01



Repeat the fourth record exactly.
DFT (PBE) results for a relaxed LiGePd14 crystal.

Output
raw total energy: -5.11 eV/atom
DFT formation energy: -15.5 kJ per mole of atoms
space-group type: No. 38

Cell lengths 5.5028, 5.5028, 9.0706 Å; angles 90.00, 90.00, 118.17 degrees
With the nearest neighbours (Å) after each atom.
Atoms (fractional coordinates):
Li: 0.0617 0.9383 0.5000  10 Pd 2.62-2.90, 2 Ge 2.83
Ge: 0.5607 0.4393 0.5000  8 Pd 2.60-2.83, 2 Li 2.83
Pd: 0.1926 0.8074 0.0000  12 Pd 2.72-2.89
Pd: 0.6947 0.3053 0.0000  12 Pd 2.74-2.88
Pd: 0.0709 0.4314 0.5000  2 Ge 2.67-2.83, 2 Li 2.69-2.81, 8 Pd 2.73-2.84
Pd: 0.1965 0.3044 0.0000  12 Pd 2.72-2.91
Pd: 0.5686 0.9291 0.5000  2 Ge 2.67-2.83, 2 Li 2.69-2.81, 8 Pd 2.73-2.84
Pd: 0.6956 0.8035 0.0000  12 Pd 2.72-2.91
Pd: 0.3723 0.1340 0.7339  1 Ge 2.60, 1 Li 2.62, 9 Pd 2.74-2.89
Pd: 0.3723 0.1340 0.2661  1 Ge 2.60, 1 Li 2.62, 9 Pd 2.74-2.89
Pd: 0.8660 0.6277 0.7339  1 Ge 2.60, 1 Li 2.62, 9 Pd 2.74-2.89
Pd: 0.8660 0.6277 0.2661  1 Ge 2.60, 1 Li 2.62, 9 Pd 2.74-2.89
Pd: 0.3687 0.6313 0.7523  11 Pd 2.73-2.83, 1 Ge 2.92
Pd: 0.3687 0.6313 0.2477  11 Pd 2.73-2.83, 1 Ge 2.92
Pd: 0.8723 0.1277 0.7514  11 Pd 2.73-2.83, 1 Li 2.90
Pd: 0.8723 0.1277 0.2486  11 Pd 2.73-2.83, 1 Li 2.90